Record 1
Compound: La7Ho4Er
Source: Alexandria via LeMat-Bulk
Functional: PBE
Structure: relaxed

Summary:
Formation energy = 14 meV per atom
Crystal system = triclinic
E = -4.766 eV/atom
Density = 7.217 g/cm³
Size of the total moment = 0.000 μB per cell

a = 7.3247 Å, b = 9.7234 Å, c = 9.8012 Å
α = 73.48°, β = 90.01°, γ = 41.13°
Last column: nearest neighbours and their distance in Å.
Positions (direct):
La (0.9446, 0.5567, 0.6671)  7 La 3.62-3.72, 5 Ho 3.65-3.72
Ho (0.5505, 0.4498, 0.3346)  4 Ho 3.57-3.69, 7 La 3.61-3.70, 1 Er 3.63
La (0.5000, 0.0000, 0.0000)  8 La 3.64-3.71, 2 Ho 3.65, 2 Er 3.66
Ho (0.4495, 0.5502, 0.6654)  4 Ho 3.57-3.69, 7 La 3.61-3.70, 1 Er 3.63
La (0.1934, 0.0546, 0.6649)  6 Ho 3.59-3.74, 5 La 3.62-3.72, 1 Er 3.64
La (0.8066, 0.9454, 0.3351)  6 Ho 3.59-3.74, 5 La 3.62-3.72, 1 Er 3.64
La (0.7456, 0.4979, 0.0021)  7 La 3.57-3.76, 3 Ho 3.61-3.64, 2 Er 3.66-3.67
Ho (0.7033, 0.0551, 0.6679)  1 Er 3.59, 8 La 3.59-3.74, 3 Ho 3.61-3.69
Ho (0.2967, 0.9449, 0.3321)  1 Er 3.59, 8 La 3.59-3.74, 3 Ho 3.61-3.69
La (0.2544, 0.5021, 0.9979)  7 La 3.57-3.76, 3 Ho 3.61-3.64, 2 Er 3.66-3.67
Er (0.0000, 0.0000, 0.0000)  4 Ho 3.59-3.63, 8 La 3.64-3.67
La (0.0554, 0.4433, 0.3329)  7 La 3.62-3.72, 5 Ho 3.65-3.72



Record 2
Compound: Li2PPtPb
Source: Alexandria via LeMat-Bulk
Functional: PBE
Structure: relaxed

Summary:
Formation energy = 86 meV per atom
Crystal system = tetragonal
E = -3.711 eV/atom
Density = 6.564 g/cm³
Size of the total moment = 0.618 μB per cell

a = 4.6658 Å, b = 5.1959 Å, c = 4.6658 Å
α = 90.00°, β = 90.00°, γ = 90.00°
Last column: nearest neighbours and their distance in Å.
Positions (direct):
P (0.5000, 0.5000, 0.5000)  4 Pb 3.30, 8 Li 3.49
Pt (0.0000, 0.0000, 0.0000)  4 Li 2.33, 2 Pb 2.60
Pb (0.0000, 0.5000, 0.0000)  2 Pt 2.60
Li (0.0000, 0.0000, 0.5000)  2 Pt 2.33
Li (0.5000, 0.0000, 0.0000)  2 Pt 2.33



Record 3
Compound: Ac3Cd3Ag8
Source: Alexandria via LeMat-Bulk
Functional: PBE
Structure: relaxed

Summary:
Formation energy = -251 meV per atom
Crystal system = orthorhombic
E = -2.957 eV/atom
Density = 9.075 g/cm³
Size of the total moment = 0.000 μB per cell

a = 4.8237 Å, b = 9.0500 Å, c = 9.0500 Å
α = 66.83°, β = 74.54°, γ = 74.54°
Last column: nearest neighbours and their distance in Å.
Positions (direct):
Ag (0.6341, 0.0831, 0.6486)  3 Ag 2.83-2.98, 3 Cd 2.89-3.09
Ag (0.8352, 0.5246, 0.8050)  4 Ag 2.79-2.98, 1 Cd 2.85
Ag (0.1648, 0.1950, 0.4754)  4 Ag 2.79-2.98, 1 Cd 2.85
Cd (0.0000, 0.8008, 0.1992)  6 Ag 2.85-3.09, 2 Cd 3.12
Ag (0.3659, 0.3514, 0.9169)  3 Ag 2.83-2.98, 3 Cd 2.89-3.09
Ag (0.8352, 0.8050, 0.5246)  4 Ag 2.79-2.98, 1 Cd 2.85
Ac (0.2040, 0.7960, 0.7960)  12 Ag 3.36-3.65, 2 Cd 3.53
Ac (0.5000, 0.5000, 0.5000)  12 Ag 3.41-3.65
Ac (0.7960, 0.2040, 0.2040)  12 Ag 3.36-3.65, 2 Cd 3.53
Cd (0.0000, 0.1992, 0.8008)  6 Ag 2.85-3.09, 2 Cd 3.12
Ag (0.6341, 0.6486, 0.0831)  3 Ag 2.83-2.98, 3 Cd 2.89-3.09
Cd (0.5000, 0.0000, 0.0000)  4 Ag 2.89, 4 Cd 3.12
Ag (0.3659, 0.9169, 0.3514)  3 Ag 2.83-2.98, 3 Cd 2.89-3.09
Ag (0.1648, 0.4754, 0.1950)  4 Ag 2.79-2.98, 1 Cd 2.85



Record 4
Compound: CoRe3
Source: Alexandria via LeMat-Bulk
Functional: PBE
Structure: relaxed

Summary:
Formation energy = 2 meV per atom
Crystal system = orthorhombic
E = -11.111 eV/atom
Density = 18.436 g/cm³
Size of the total moment = 0.000 μB per cell

a = 5.4438 Å, b = 4.6633 Å, c = 13.1466 Å
α = 90.00°, β = 90.00°, γ = 90.00°
Last column: nearest neighbours and their distance in Å.
Positions (direct):
Re (0.5018, 0.5125, 0.7500)  8 Re 2.67-2.74, 4 Co 2.68-2.71
Re (0.5014, 0.8317, 0.0858)  8 Re 2.66-2.75, 4 Co 2.66-2.71
Re (0.9982, 0.5125, 0.7500)  8 Re 2.67-2.74, 4 Co 2.68-2.71
Co (0.2500, 0.9903, 0.2500)  12 Re 2.66-2.72
Re (0.7500, 0.6706, 0.9164)  8 Re 2.67-2.71, 4 Co 2.68-2.72
Re (0.7500, 0.9952, 0.2500)  8 Re 2.66-2.74, 4 Co 2.72
Re (0.0018, 0.4875, 0.2500)  8 Re 2.67-2.74, 4 Co 2.68-2.71
Re (0.4986, 0.1683, 0.5858)  8 Re 2.66-2.75, 4 Co 2.66-2.71
Re (0.2500, 0.3294, 0.0836)  8 Re 2.67-2.71, 4 Co 2.68-2.72
Co (0.7500, 0.3349, 0.0820)  12 Re 2.68-2.72
Co (0.7500, 0.3349, 0.4180)  12 Re 2.68-2.72
Re (0.5014, 0.8317, 0.4142)  8 Re 2.66-2.75, 4 Co 2.66-2.71
Re (0.9986, 0.8317, 0.4142)  8 Re 2.66-2.75, 4 Co 2.66-2.71
Re (0.0014, 0.1683, 0.5858)  8 Re 2.66-2.75, 4 Co 2.66-2.71
Co (0.2500, 0.6651, 0.9180)  12 Re 2.68-2.72
Re (0.7500, 0.6706, 0.5836)  8 Re 2.67-2.71, 4 Co 2.68-2.72
Re (0.9986, 0.8317, 0.0858)  8 Re 2.66-2.75, 4 Co 2.66-2.71
Re (0.2500, 0.0048, 0.7500)  8 Re 2.66-2.74, 4 Co 2.72
Re (0.2500, 0.3294, 0.4164)  8 Re 2.67-2.71, 4 Co 2.68-2.72
Re (0.4982, 0.4875, 0.2500)  8 Re 2.67-2.74, 4 Co 2.68-2.71
Re (0.0014, 0.1683, 0.9142)  8 Re 2.66-2.75, 4 Co 2.66-2.71
Co (0.7500, 0.0097, 0.7500)  12 Re 2.66-2.72
Re (0.4986, 0.1683, 0.9142)  8 Re 2.66-2.75, 4 Co 2.66-2.71
Co (0.2500, 0.6651, 0.5820)  12 Re 2.68-2.72



Record 5
Compound: Pm3Mg7Tl2
Source: Alexandria via LeMat-Bulk
Functional: PBE
Structure: relaxed

Summary:
Formation energy = -121 meV per atom
Crystal system = trigonal
E = -2.633 eV/atom
Density = 5.306 g/cm³
Size of the total moment = 0.004 μB per cell

a = 6.1327 Å, b = 6.1327 Å, c = 10.3653 Å
α = 72.79°, β = 72.79°, γ = 60.00°
Last column: nearest neighbours and their distance in Å.
Positions (direct):
Mg (0.5000, 0.5000, 0.5000)  6 Mg 3.02
Tl (0.6656, 0.6656, 0.0033)  6 Mg 3.01-3.03
Pm (0.0000, 0.0000, 0.0000)  6 Tl 3.54, 12 Mg 3.92
Mg (0.4139, 0.4139, 0.2507)  2 Tl 3.01-3.03, 5 Mg 3.02-3.11
Mg (0.5861, 0.0785, 0.7493)  2 Tl 3.01-3.03, 5 Mg 3.02-3.11
Pm (0.1440, 0.1440, 0.5679)  12 Mg 3.54-3.60, 3 Pm 3.78
Mg (0.4139, 0.9215, 0.2507)  2 Tl 3.01-3.03, 5 Mg 3.02-3.11
Mg (0.9215, 0.4139, 0.2507)  2 Tl 3.01-3.03, 5 Mg 3.02-3.11
Pm (0.8560, 0.8560, 0.4321)  12 Mg 3.54-3.60, 3 Pm 3.78
Mg (0.0785, 0.5861, 0.7493)  2 Tl 3.01-3.03, 5 Mg 3.02-3.11
Tl (0.3344, 0.3344, 0.9967)  6 Mg 3.01-3.03
Mg (0.5861, 0.5861, 0.7493)  2 Tl 3.01-3.03, 5 Mg 3.02-3.11



Record 6
Compound: MnAl2Br
Source: Alexandria via LeMat-Bulk
Functional: PBE
Structure: relaxed

Summary:
Crystal system = tetragonal
E = -4.447 eV/atom
Energy relative to the elements, uncorrected = 0.13 eV/atom
Density = 4.030 g/cm³
Size of the total moment = 3.392 μB per cell

a = 3.1328 Å, b = 3.1328 Å, c = 7.9270 Å
α = 90.00°, β = 90.00°, γ = 90.00°
Last column: nearest neighbours and their distance in Å.
Positions (direct):
Br (0.0000, 0.0000, 0.5632)  4 Mn 2.77
Al (0.0000, 0.0000, 0.9690)  4 Mn 2.70, 4 Al 2.84
Mn (0.5000, 0.5000, 0.7739)  4 Al 2.70, 4 Br 2.77
Al (0.5000, 0.5000, 0.1938)  8 Al 2.84-3.13



Record 7
Compound: TbCd3Pd4
Source: Alexandria via LeMat-Bulk
Functional: PBE
Structure: relaxed

Summary:
Formation energy = -562 meV per atom
Crystal system = orthorhombic
E = -4.080 eV/atom
Density = 10.348 g/cm³
Size of the total moment = 0.000 μB per cell

a = 4.7468 Å, b = 6.5643 Å, c = 9.4949 Å
α = 90.00°, β = 90.00°, γ = 90.00°
Last column: nearest neighbours and their distance in Å.
Positions (direct):
Cd (0.4973, 0.0000, 0.2500)  8 Pd 2.85
Cd (0.5018, 0.5000, 0.7500)  8 Pd 2.92-2.93
Pd (0.0029, 0.2404, 0.7500)  6 Cd 2.85-2.93, 2 Tb 2.92, 1 Pd 3.16
Pd (0.9971, 0.2404, 0.2500)  6 Cd 2.85-2.93, 2 Tb 2.92, 1 Pd 3.16
Cd (0.0000, 0.0000, 0.0000)  8 Pd 2.85
Cd (0.0000, 0.0000, 0.5000)  8 Pd 2.85
Pd (0.5000, 0.7596, 0.5000)  6 Cd 2.85-2.92, 2 Tb 2.92, 1 Pd 3.16
Pd (0.9971, 0.7596, 0.2500)  6 Cd 2.85-2.93, 2 Tb 2.92, 1 Pd 3.16
Pd (0.0029, 0.7596, 0.7500)  6 Cd 2.85-2.93, 2 Tb 2.92, 1 Pd 3.16
Pd (0.5000, 0.2404, 0.5000)  6 Cd 2.85-2.92, 2 Tb 2.92, 1 Pd 3.16
Tb (0.0000, 0.5000, 0.0000)  8 Pd 2.92
Pd (0.5000, 0.2404, 0.0000)  6 Cd 2.85-2.92, 2 Tb 2.92, 1 Pd 3.16
Pd (0.5000, 0.7596, 0.0000)  6 Cd 2.85-2.92, 2 Tb 2.92, 1 Pd 3.16
Cd (0.5027, 0.0000, 0.7500)  8 Pd 2.85
Cd (0.4982, 0.5000, 0.2500)  8 Pd 2.92-2.93
Tb (0.0000, 0.5000, 0.5000)  8 Pd 2.92



Record 8
Compound: NbNiOs3
Source: Alexandria via LeMat-Bulk
Functional: PBE
Structure: relaxed

Summary:
Formation energy = 2535 meV per atom
Crystal system = cubic
E = -7.373 eV/atom
Density = 11.375 g/cm³
Size of the total moment = 2.874 μB per cell

a = 4.7243 Å, b = 4.7243 Å, c = 4.7243 Å
α = 90.00°, β = 90.00°, γ = 90.00°
Last column: nearest neighbours and their distance in Å.
Positions (direct):
Os (0.0000, 0.0000, 0.5000)  2 Nb 2.36
Nb (0.0000, 0.0000, 0.0000)  6 Os 2.36
Os (0.0000, 0.5000, 0.0000)  2 Nb 2.36
Os (0.5000, 0.0000, 0.0000)  2 Nb 2.36
Ni (0.5000, 0.5000, 0.5000)  12 Os 3.34



Record 9
Compound: Pm4RhS3
Source: Alexandria via LeMat-Bulk
Functional: PBE
Structure: relaxed

Summary:
Crystal system = orthorhombic
E = -6.493 eV/atom
Energy relative to the elements, uncorrected = -1.65 eV/atom
Density = 6.747 g/cm³
Size of the total moment = 0.000 μB per cell

a = 4.0179 Å, b = 7.1055 Å, c = 7.1055 Å
α = 109.04°, β = 90.00°, γ = 90.00°
Last column: nearest neighbours and their distance in Å.
Positions (direct):
Rh (0.5000, 0.0000, 0.0000)  6 Pm 2.84-2.88
S (0.5000, 0.5000, 0.5000)  6 Pm 2.90-2.92
S (0.0000, 0.5000, 0.0000)  6 Pm 2.88-2.89
Pm (0.0000, 0.2433, 0.2433)  2 Rh 2.84, 4 S 2.89-2.92
S (0.0000, 0.0000, 0.5000)  6 Pm 2.88-2.89
Pm (0.5000, 0.7508, 0.2492)  5 S 2.88-2.90, 1 Rh 2.88
Pm (0.5000, 0.2492, 0.7508)  5 S 2.88-2.90, 1 Rh 2.88
Pm (0.0000, 0.7567, 0.7567)  2 Rh 2.84, 4 S 2.89-2.92



Record 10
Compound: GeTePt2
Source: Alexandria via LeMat-Bulk
Functional: PBE
Structure: relaxed

Summary:
Crystal system = tetragonal
E = -5.160 eV/atom
Energy relative to the elements, uncorrected = -0.20 eV/atom
Density = 11.256 g/cm³
Size of the total moment = 0.000 μB per cell

a = 4.7696 Å, b = 4.7696 Å, c = 8.3669 Å
α = 73.44°, β = 73.44°, γ = 90.00°
Last column: nearest neighbours and their distance in Å.
Positions (direct):
Ge (0.2500, 0.7500, 0.5000)  4 Pt 2.45
Pt (0.8750, 0.8274, 0.7500)  2 Ge 2.45, 2 Te 2.66
Ge (0.5000, 0.5000, 0.0000)  4 Pt 2.45
Pt (0.5774, 0.1250, 0.2500)  2 Ge 2.45, 2 Te 2.66
Pt (0.1726, 0.6250, 0.2500)  2 Ge 2.45, 2 Te 2.66
Pt (0.3750, 0.4226, 0.7500)  2 Ge 2.45, 2 Te 2.66
Te (0.7500, 0.2500, 0.5000)  4 Pt 2.66
Te (0.0000, 0.0000, 0.0000)  4 Pt 2.66



Record 11
Compound: HgRhAu
Source: Alexandria via LeMat-Bulk
Functional: PBE
Structure: relaxed

Summary:
Formation energy = 214 meV per atom
Crystal system = trigonal
E = -3.430 eV/atom
Density = 15.608 g/cm³
Size of the total moment = 0.000 μB per cell

a = 2.9731 Å, b = 2.9731 Å, c = 6.9559 Å
α = 90.00°, β = 90.00°, γ = 120.00°
Last column: nearest neighbours and their distance in Å.
Positions (direct):
Rh (0.3333, 0.6667, 0.6671)  3 Au 2.83, 3 Hg 2.83, 6 Rh 2.97
Au (0.0000, 0.0000, 0.9896)  3 Rh 2.83, 6 Au 2.97, 3 Hg 3.00
Hg (0.6667, 0.3333, 0.3433)  3 Rh 2.83, 6 Hg 2.97, 3 Au 3.00



Record 12
Compound: Tm3Sb2O2
Source: Alexandria via LeMat-Bulk
Functional: PBE
Structure: relaxed

Summary:
Crystal system = monoclinic
E = -6.692 eV/atom
Energy relative to the elements, uncorrected = -2.18 eV/atom
Density = 8.208 g/cm³
Size of the total moment = 0.000 μB per cell

a = 3.7916 Å, b = 7.3062 Å, c = 6.3239 Å
α = 107.84°, β = 107.44°, γ = 90.00°
Last column: nearest neighbours and their distance in Å.
Positions (direct):
O (0.1629, 0.4215, 0.3259)  4 Tm 2.19-2.26
O (0.8371, 0.5785, 0.6741)  4 Tm 2.19-2.26
Sb (0.6174, 0.8386, 0.2349)  5 Tm 3.08-3.36
Tm (0.3096, 0.7076, 0.6192)  3 O 2.19-2.26
Sb (0.3826, 0.1614, 0.7651)  5 Tm 3.08-3.36
Tm (0.0000, 0.5000, 0.0000)  2 O 2.22
Tm (0.6904, 0.2924, 0.3808)  3 O 2.19-2.26



> What is the E in the fourth record?

-11.111 eV/atom